No. 1
Computed, not measured: a relaxed structure of La2AgHgIr at the PBE-GGA level of DFT.

Structure (POSCAR):
```
La2AgHgIr
1.0
-1.084 1.638 3.781
-7.902 -1.736 -1.513
3.758 -6.182 3.756
La Ag Hg Ir
4 2 2 2
Cartesian
-5.268 -4.303 3.955
-6.468 -0.108 1.793
0.040 -1.977 2.068
1.240 -6.172 4.230
-2.184 -4.510 2.529
-3.044 -1.770 3.495
-4.529 -2.752 1.095
-0.699 -3.527 4.929
-3.949 -6.674 2.960
-1.279 0.394 3.064
```

## Properties
**Density**: 9.7 g/cm3
**VASP energy**: -4.887 eV per atom
**ΔE to the lowest computed polymorph**: 0 meV per atom
**Calculated volume**: 26.586 Å³ per atom
**Formation enthalpy at 0 K**: -0.5129 eV per atom
**Space-group type**: P2_1/m
**Crystal system**: monoclinic



No. 2
Computed, not measured: a relaxed structure of La2AgHgIr at the PBE-GGA level of DFT.

Structure (POSCAR):
```
La2AgHgIr
1.0
5.454 0.000 0.000
0.000 5.454 0.000
0.000 0.000 5.247
Ir Hg Ag La
1 1 1 2
Cartesian
0.000 0.000 0.000
2.727 2.727 2.624
0.000 0.000 2.624
0.000 2.727 0.000
2.727 0.000 0.000
```

## Properties
**Density**: 8.3 g/cm3
**VASP energy**: -4.681 eV per atom
**ΔE to the lowest computed polymorph**: 205 meV per atom
**Calculated volume**: 31.213 Å³ per atom
**Formation enthalpy at 0 K**: -0.3077 eV per atom
**Space-group type**: P4/mmm
**Crystal system**: tetragonal



No. 3
Computed, not measured: a relaxed structure of LiAg2HgIr at the PBE-GGA level of DFT.

Structure (POSCAR):
```
LiAg2HgIr
1.0
-2.140 -2.214 4.127
4.675 -0.562 2.123
-0.460 4.615 2.237
Ir Hg Ag Li
1 1 2 1
Cartesian
0.000 0.000 0.000
2.338 -0.281 1.061
-0.230 2.308 1.118
-1.070 -1.107 2.064
1.037 0.920 4.243
```

## Properties
**Density**: 7.5 g/cm3
**VASP energy**: -2.730 eV per atom
**Calculated volume**: 27.390 Å³ per atom
**Formation enthalpy at 0 K**: 0.6259 eV per atom
**Space-group type**: P4/mmm
**Crystal system**: tetragonal